Entry 1:
First-principles (PBE) data for a geometry-optimized Ba2PPb structure, as listed in Alexandria.

Output
* energy relative to the elements: -0.55 eV/atom
* crystal system: orthorhombic
* relative energy among the computed polymorphs: 0.072 eV/atom

Cell lengths 4.1082, 5.4280, 12.5195 Å; angles 90.00, 90.00, 90.00 degrees
Closest atoms and distances in Å follow each position.
Space group Imm2 (No. 44)
Unique sites:
Ba 0.0000 0.0000 0.0000 x2  2 P 3.42, 4 Pb 3.66, 2 Ba 3.77
Ba 0.0000 0.5000 0.2086 x2  4 P 3.41, 2 Pb 3.56, 2 Ba 3.77
P 0.0000 0.5000 0.7189 x2  2 Pb 2.99
Pb 0.0000 0.0000 0.3925 x2  2 P 2.99

***

Entry 2:
First-principles (PBE) data for a geometry-optimized YbTm2S4 structure, as listed in Alexandria.

Output
* crystal system: orthorhombic
* E_form (uncorrected): -2108.6 meV/atom

Cell lengths 12.8160, 3.8419, 12.9685 Å; angles 90.00, 90.00, 90.00 degrees
Closest atoms and distances in Å follow each position.
Space group Pnma (No. 62)
Unique sites:
Yb 0.1309 0.2500 0.0833 x4  7 S 2.84-2.98
Tm 0.1076 0.7500 0.4180 x4  6 S 2.68-2.77
Tm 0.1470 0.7500 0.7982 x4  6 S 2.68-2.75
S 0.0292 0.2500 0.8833 x4  2 Tm 2.68, 3 Yb 2.84-2.90
S 0.0336 0.7500 0.6184 x4  4 Tm 2.68-2.77
S 0.2166 0.7500 0.2368 x4  3 Tm 2.72-2.73, 2 Yb 2.98
S 0.2436 0.2500 0.4757 x4  3 Tm 2.69-2.70, 2 Yb 2.87

***

Entry 3:
First-principles (PBE) data for a geometry-optimized LiRu3Cl structure, as listed in Alexandria.

Output
* crystal system: cubic
* E_form (uncorrected): 1011.1 meV/atom
* relative energy among the computed polymorphs: 0.000 eV/atom

Cell lengths 4.3426, 4.3426, 4.3426 Å; angles 90.00, 90.00, 90.00 degrees
Closest atoms and distances in Å follow each position.
Space group Pm-3m (No. 221)
Unique sites:
Li 0.0000 0.0000 0.0000 x1  12 Ru 3.07
Ru 0.0000 0.5000 0.5000 x3  2 Cl 2.17
Cl 0.5000 0.5000 0.5000 x1  6 Ru 2.17

***

Entry 4:
First-principles (PBE) data for a geometry-optimized BiSb2TePd structure, as listed in Alexandria.

Output
* crystal system: tetragonal
* E_form (uncorrected): 265.5 meV/atom
* relative energy among the computed polymorphs: 0.000 eV/atom

Cell lengths 5.2048, 5.2048, 5.4470 Å; angles 90.00, 90.00, 90.00 degrees
Closest atoms and distances in Å follow each position.
Space group P4/mmm (No. 123)
Unique sites:
Bi 0.0000 0.0000 0.0000 x1  4 Te 3.68, 8 Sb 3.77
Sb 0.0000 0.5000 0.5000 x2  2 Pd 2.60
Te 0.5000 0.5000 0.0000 x1  2 Pd 2.72
Pd 0.5000 0.5000 0.5000 x1  4 Sb 2.60, 2 Te 2.72

***

Entry 5:
First-principles (PBE) data for a geometry-optimized ScCr2Br structure, as listed in Alexandria.

Output
* crystal system: tetragonal
* E_form (uncorrected): 676.1 meV/atom
* relative energy among the computed polymorphs: 0.687 eV/atom

Cell lengths 4.7644, 4.7644, 3.2725 Å; angles 90.00, 90.00, 90.00 degrees
Closest atoms and distances in Å follow each position.
Space group P4/mmm (No. 123)
Unique sites:
Sc 0.0000 0.0000 0.0000 x1  8 Cr 2.89
Cr 0.0000 0.5000 0.5000 x2  4 Br 2.89, 4 Sc 2.89
Br 0.5000 0.5000 0.0000 x1  8 Cr 2.89

***

Entry 6:
First-principles (PBE) data for a geometry-optimized Pm3DyTh2P6 structure, as listed in Alexandria.

Output
* energy relative to the elements: -1.59 eV/atom
* crystal system: monoclinic

Cell lengths 17.9540, 4.1231, 8.2276 Å; angles 90.00, 103.36, 90.00 degrees
Closest atoms and distances in Å follow each position.
Space group C2/m (No. 12)
Unique sites:
Pm 0.0000 0.0000 0.0000 x2  6 P 2.92-2.94
Pm 0.1660 0.5000 0.3344 x4  6 P 2.90-2.96
Dy 0.0000 0.0000 0.5000 x2  6 P 2.88
Th 0.1647 0.5000 0.8300 x4  6 P 2.87-2.93
P 0.9998 0.5000 0.2551 x4  1 Th 2.87, 2 Dy 2.88, 3 Pm 2.90-2.94
P 0.1646 0.0000 0.5831 x4  1 Dy 2.88, 2 Th 2.89, 3 Pm 2.91-2.96
P 0.1674 0.0000 0.0820 x4  3 Th 2.92-2.93, 3 Pm 2.92-2.93

***

Entry 7:
First-principles (PBE) data for a geometry-optimized NdDyMgCo structure, as listed in Alexandria.

Output
* energy relative to the elements: 0.04 eV/atom
* crystal system: cubic

Cell lengths 7.2244, 7.2244, 7.2244 Å; angles 90.00, 90.00, 90.00 degrees
Closest atoms and distances in Å follow each position.
Space group F-43m (No. 216)
Unique sites:
Nd 0.0000 0.0000 0.0000 x4  4 Co 3.13, 4 Mg 3.13
Dy 0.0000 0.0000 0.5000 x4  4 Mg 3.13, 4 Co 3.13
Mg 0.2500 0.2500 0.2500 x4  4 Dy 3.13, 4 Nd 3.13
Co 0.2500 0.2500 0.7500 x4  4 Dy 3.13, 4 Nd 3.13

***

Entry 8:
First-principles (PBE) data for a geometry-optimized TaV5P2 structure, as listed in Alexandria.

Output
* energy relative to the elements: -0.55 eV/atom
* crystal system: orthorhombic

Cell lengths 3.2428, 7.4304, 9.0979 Å; angles 90.00, 90.00, 90.00 degrees
Closest atoms and distances in Å follow each position.
Space group Immm (No. 71)
Unique sites:
Ta 0.0000 0.0000 0.0000 x2  4 P 2.62
V 0.0000 0.1883 0.3465 x8  3 P 2.40-2.41, 4 V 2.56
V 0.0000 0.5000 0.0000 x2  2 P 2.49, 8 V 2.56
P 0.0000 0.5000 0.2733 x4  7 V 2.40-2.49, 2 Ta 2.62